(1)
Compound: ScCoAgPb2
Source: Alexandria via LeMat-Bulk
Functional: GGA-PBE
Structure: optimized geometry

Unit cell a=5.531 b=5.128 c=5.531 alpha=90.00 beta=90.00 gamma=90.00
Fractional positions:
Pb 0.000 0.000 0.500
Pb 0.500 0.000 0.000
Co 0.500 0.500 0.500
Ag 0.000 0.500 0.000
Sc 0.000 0.000 0.000

Calculated values
**Space group**: P4/mmm, No. 123
**Formation energy**: 1.152 eV per atom
**Crystal system**: tetragonal
**M_tot**: 2.07 μB/cell

***

(2)
Compound: Co2TcAgPb
Source: Alexandria via LeMat-Bulk
Functional: GGA-PBE
Structure: optimized geometry

Unit cell a=4.780 b=5.073 c=4.780 alpha=90.00 beta=90.00 gamma=90.00
Fractional positions:
Ag 0.000 0.500 0.000
Tc 0.500 0.500 0.500
Co 0.500 0.000 0.000
Co 0.000 0.000 0.500
Pb 0.000 0.000 0.000

Calculated values
**Space group**: P4/mmm, No. 123
**Formation energy**: 1.925 eV per atom
**Crystal system**: tetragonal
**M_tot**: 6.43 μB/cell

***

(3)
Compound: CoAgTe2Pb
Source: Alexandria via LeMat-Bulk
Functional: GGA-PBE
Structure: optimized geometry

Unit cell a=5.125 b=5.125 c=4.981 alpha=90.00 beta=90.00 gamma=90.00
Fractional positions:
Te 0.000 0.500 0.000
Te 0.500 0.000 0.000
Pb 0.000 0.000 0.500
Co 0.000 0.000 0.000
Ag 0.500 0.500 0.500

Calculated values
**Formation energy (no corrections)**: 344.0 meV per atom
**Space group**: P4/mmm, No. 123
**Crystal system**: tetragonal
**M_tot**: 0.00 μB/cell

***

(4)
Compound: CoAgPd2
Source: Alexandria via LeMat-Bulk
Functional: GGA-PBE
Structure: optimized geometry

Unit cell a=2.806 b=2.806 c=7.610 alpha=90.00 beta=90.00 gamma=90.00
Fractional positions:
Pd 0.000 0.000 0.223
Pd 0.000 0.000 0.777
Co 0.500 0.500 0.000
Ag 0.500 0.500 0.500

Calculated values
**Space group**: P4/mmm, No. 123
**Formation energy**: 0.021 eV per atom
**Crystal system**: tetragonal
**M_tot**: 2.55 μB/cell

***

Which of these has the lowest M_tot? CoAgTe2Pb

***

Among the records above, which one has the highest M_tot? Co2TcAgPb